NaZnHg4 after structural relaxation. Source: the Alexandria database, functional PBE.

```
NaZnHg4
1.0
5.0710 -0.0583 -1.4136
-0.6204 6.8302 -2.5070
-0.6985 -0.5887 9.2034
Hg Na Zn
8 2 2
direct
0.0000 0.8053 0.0000
0.6014 0.3740 0.2711
0.3986 0.6260 0.7289
0.2081 0.6957 0.3913
0.7919 0.3043 0.6087
0.3986 0.1030 0.7289
0.6014 0.8970 0.2711
0.0000 0.1947 0.0000
0.1593 0.1885 0.3769
0.8407 0.8115 0.6231
0.7622 0.5374 0.0747
0.2378 0.4626 0.9253
```

Output
**Formation energy from the elements**: -0.08 eV/atom
**Space-group type**: C2/m
**Relative energy among the computed polymorphs**: 0 meV/atom
**Magnetic moment**: 0.000 μB per formula unit